# Na2Cu2RuO6

Crystalline Na2Cu2RuO6 at its relaxed geometry (GGA-PBE, Alexandria via LeMat-Bulk).

Fermi-level density of states   19.5 states/eV/cell
Magnetization   0.029 μB per atom
Electronic total energy   -0.1989 hartree per atom

Lattice parameters (Å, degrees): 5.7651 5.7651 15.5153 90.00 90.00 120.00
Space group R-3m (No. 166, hexagonal axes)
Unique sites:
Na: 0.0000 0.0000 0.2009 (multiplicity 6)
Cu: 0.0000 0.0000 0.4043 (multiplicity 6)
Ru: 0.0000 0.0000 0.0000 (multiplicity 3)
O: 0.0290 0.5145 0.7433 (multiplicity 18)



# NaCu2SO6

Crystalline NaCu2SO6 at its relaxed geometry (GGA-PBE, Alexandria via LeMat-Bulk).

Fermi-level density of states   12.5 states/eV/cell
Magnetization   0.000 μB per atom
Electronic total energy   -0.1988 hartree per atom

Lattice parameters (Å, degrees): 8.468 9.896 7.154 90.00 102.38 90.00
Space group C2/c (No. 15)
Unique sites:
Na: 0.000 0.209 0.250 (multiplicity 4)
Cu: 0.134 0.487 0.157 (multiplicity 8)
S: 0.000 0.102 0.750 (multiplicity 4)
O: 0.004 0.184 0.920 (multiplicity 8)
O: 0.092 0.459 0.400 (multiplicity 8)
O: 0.139 0.000 0.281 (multiplicity 8)



# NaCu2S2O10

Crystalline NaCu2S2O10 at its relaxed geometry (GGA-PBE, Alexandria via LeMat-Bulk).

Fermi-level density of states   2.0 states/eV/cell
Magnetization   0.066 μB per atom
Electronic total energy   -0.2015 hartree per atom

Lattice parameters (Å, degrees): 8.899 6.152 8.306 90.00 122.04 90.00
Space group C2/m (No. 12)
Unique sites:
Na: 0.000 0.000 0.000 (multiplicity 2)
Cu: 0.250 0.250 0.500 (multiplicity 4)
S: 0.075 0.500 0.796 (multiplicity 4)
O: 0.043 0.298 0.253 (multiplicity 8)
O: 0.155 0.000 0.516 (multiplicity 4)
O: 0.163 0.500 0.689 (multiplicity 4)
O: 0.197 0.500 0.000 (multiplicity 4)



# Na2CuS2O10

Crystalline Na2CuS2O10 at its relaxed geometry (GGA-PBE, Alexandria via LeMat-Bulk).

Fermi-level density of states   0.2 states/eV/cell
Magnetization   0.208 μB per atom
Electronic total energy   -0.1965 hartree per atom

Lattice parameters (Å, degrees): 6.336 12.627 5.573 90.00 114.36 90.00
Space group P2_1/c (No. 14)
Unique sites:
Na: 0.106 0.143 0.370 (multiplicity 4)
Cu: 0.500 0.000 0.000 (multiplicity 2)
S: 0.254 0.617 0.784 (multiplicity 4)
O: 0.085 0.686 0.586 (multiplicity 4)
O: 0.176 0.578 0.983 (multiplicity 4)
O: 0.282 0.513 0.647 (multiplicity 4)
O: 0.355 0.118 0.851 (multiplicity 4)
O: 0.486 0.668 0.913 (multiplicity 4)



# Na2CuSO4

Crystalline Na2CuSO4 at its relaxed geometry (GGA-PBE, Alexandria via LeMat-Bulk).

Fermi-level density of states   4.9 states/eV/cell
Magnetization   0.020 μB per atom
Electronic total energy   -0.1814 hartree per atom

Lattice parameters (Å, degrees): 6.197 6.197 6.163 90.00 90.00 90.00
Space group I-4 (No. 82)
Unique sites:
Na: 0.000 0.000 0.000 (multiplicity 2)
Na: 0.000 0.500 0.250 (multiplicity 2)
Cu: 0.000 0.000 0.500 (multiplicity 2)
S: 0.000 0.500 0.750 (multiplicity 2)
O: 0.118 0.344 0.894 (multiplicity 8)



# NaCuSO6

Crystalline NaCuSO6 at its relaxed geometry (GGA-PBE, Alexandria via LeMat-Bulk).

Magnetization   0.000 μB per atom
Electronic total energy   -0.1882 hartree per atom

Lattice parameters (Å, degrees): 4.7742 4.7742 5.1845 90.00 90.00 120.00
Space group P312 (No. 149)
Unique sites:
Na: 0.0000 0.0000 0.0000 (multiplicity 1)
Cu: 0.3333 0.6667 0.5000 (multiplicity 1)
S: 0.6667 0.3333 0.5000 (multiplicity 1)
O: 0.3998 0.0431 0.6873 (multiplicity 6)



# NaCuSbO4

Crystalline NaCuSbO4 at its relaxed geometry (GGA-PBE, Alexandria via LeMat-Bulk).

Fermi-level density of states   16.2 states/eV/cell
Magnetization   0.144 μB per atom
Electronic total energy   -0.1924 hartree per atom

Lattice parameters (Å, degrees): 6.317 9.921 6.435 90.00 90.00 90.00
Space group Cmcm (No. 63)
Unique sites:
Na: 0.000 0.000 0.000 (multiplicity 4)
Cu: 0.000 0.362 0.250 (multiplicity 4)
Sb: 0.000 0.348 0.750 (multiplicity 4)
O: 0.000 0.244 0.000 (multiplicity 8)
O: 0.213 0.489 0.750 (multiplicity 8)



# Na2CuSbO4

Crystalline Na2CuSbO4 at its relaxed geometry (GGA-PBE, Alexandria via LeMat-Bulk).

Fermi-level density of states   10.1 states/eV/cell
Magnetization   0.016 μB per atom
Electronic total energy   -0.1811 hartree per atom

Lattice parameters (Å, degrees): 6.168 6.168 5.738 90.00 90.00 90.00
Space group I-42m (No. 121)
Unique sites:
Na: 0.000 0.500 0.000 (multiplicity 4)
Cu: 0.000 0.000 0.000 (multiplicity 2)
Sb: 0.000 0.000 0.500 (multiplicity 2)
O: 0.170 0.170 0.715 (multiplicity 8)



# NaCu4Sb3O12

Crystalline NaCu4Sb3O12 at its relaxed geometry (GGA-PBE, Alexandria via LeMat-Bulk).

Fermi-level density of states   30.8 states/eV/cell
Magnetization   0.203 μB per atom
Electronic total energy   -0.2004 hartree per atom

Lattice parameters (Å, degrees): 11.0965 11.0965 7.6130 90.00 90.00 120.00
Space group R32 (No. 155, hexagonal axes)
Unique sites:
Na: 0.0000 0.0000 0.0000 (multiplicity 3)
Cu: 0.0000 0.0000 0.5000 (multiplicity 3)
Cu: 0.0000 0.4299 0.5000 (multiplicity 9)
Sb: 0.0000 0.5625 0.0000 (multiplicity 9)
O: 0.0000 0.6014 0.5000 (multiplicity 9)
O: 0.0000 0.8302 0.5000 (multiplicity 9)
O: 0.0634 0.2245 0.1872 (multiplicity 18)



# Na3Cu2SbO6

Crystalline Na3Cu2SbO6 at its relaxed geometry (GGA-PBE, Alexandria via LeMat-Bulk).

Fermi-level density of states   1.4 states/eV/cell
Magnetization   0.167 μB per atom
Electronic total energy   -0.1874 hartree per atom

Lattice parameters (Å, degrees): 5.878 8.942 5.954 90.00 114.89 90.00
Space group C2/m (No. 12)
Unique sites:
Na: 0.000 0.000 0.000 (multiplicity 2)
Na: 0.000 0.327 0.000 (multiplicity 4)
Cu: 0.000 0.167 0.500 (multiplicity 4)
Sb: 0.000 0.500 0.500 (multiplicity 2)
O: 0.197 0.336 0.727 (multiplicity 8)
O: 0.246 0.000 0.668 (multiplicity 4)



# NaCuSb2O

Crystalline NaCuSb2O at its relaxed geometry (GGA-PBE, Alexandria via LeMat-Bulk).

Fermi-level density of states   3.8 states/eV/cell
Magnetization   0.000 μB per atom
Electronic total energy   -0.1097 hartree per atom

Lattice parameters (Å, degrees): 5.393 5.393 3.855 90.00 90.00 90.00
Space group P4/mmm (No. 123)
Unique sites:
Na: 0.000 0.000 0.000 (multiplicity 1)
Cu: 0.500 0.500 0.500 (multiplicity 1)
Sb: 0.000 0.500 0.000 (multiplicity 2)
O: 0.000 0.000 0.500 (multiplicity 1)



# NaScCuO2

Crystalline NaScCuO2 at its relaxed geometry (GGA-PBE, Alexandria via LeMat-Bulk).

Fermi-level density of states   3.5 states/eV/cell
Magnetization   0.000 μB per atom
Electronic total energy   -0.1902 hartree per atom

Lattice parameters (Å, degrees): 3.995 3.995 7.330 90.00 90.00 90.00
Space group P4/mmm (No. 123)
Unique sites:
Na: 0.000 0.000 0.000 (multiplicity 1)
Sc: 0.000 0.000 0.500 (multiplicity 1)
Cu: 0.500 0.500 0.000 (multiplicity 1)
O: 0.000 0.500 0.500 (multiplicity 2)